A plane-wave DFT calculation with SCAN was carried out for a PBEsol-optimized structure of ZrTaTc.

Results
**Crystal system**: trigonal
**Size of the total moment**: 0.0000 μB per atom
**Fermi-level density of states**: 2.5 states/eV/f.u.
**Formation enthalpy at 0 K**: 0.026 eV per atom
**Uncorrected energy**: -132.264 eV/f.u.
**Space-group type**: P3m1 (156)

Lattice parameters (Å, degrees): 3.0869 3.0869 6.5025 90.00 90.00 120.00
Closest atoms and distances in Å follow each position.
Fractional coordinates of all 3 atoms:
1 Zr 0.0000 0.0000 0.0000  3 Tc 2.80, 3 Ta 3.01, 6 Zr 3.09
2 Ta 0.6667 0.3333 0.6263  3 Tc 2.61
3 Tc 0.3333 0.6667 0.3320  3 Ta 2.61, 3 Zr 2.80